[1]
Compound: Cd2FePb
Source: Alexandria
Functional: GGA-PBE
Structure: optimized geometry

Structure (POSCAR):
```
Cd2FePb
1.0
-2.091 2.091 4.828
2.091 -2.091 4.828
2.091 2.091 -4.828
Cd Fe Pb
2 1 1
Direct
0.250 0.750 0.500
0.750 0.250 0.500
0.000 0.000 0.000
0.500 0.500 0.000
```

Properties
The calculation puts the density of states at the Fermi level at 4.20 states/eV/cell. The mass density comes out at 9.6 g/cm³. The formation energy is 0.401 eV per atom. For the energy, the calculation gives -12.4 eV for the cell shown.


[2]
Compound: Cd2FePb
Source: Alexandria
Functional: GGA-PBE
Structure: optimized geometry

Structure (POSCAR):
```
Cd2FePb
1.0
3.121 0.000 0.000
0.000 3.121 0.000
0.000 0.000 8.952
Cd Fe Pb
2 1 1
Direct
0.000 0.000 0.196
0.000 0.000 0.804
0.500 0.500 0.000
0.500 0.500 0.500
```

Properties
The calculation puts the density of states at the Fermi level at 2.28 states/eV/cell. The mass density comes out at 9.3 g/cm³. The formation energy is 0.289 eV per atom. For the energy, the calculation gives -12.8 eV for the cell shown.


[3]
Compound: CdFe2Pb
Source: Alexandria
Functional: GGA-PBE
Structure: optimized geometry

Structure (POSCAR):
```
CdFe2Pb
1.0
3.177 0.000 0.000
0.000 4.179 0.000
-1.417 0.000 5.524
Cd Fe Pb
1 2 1
Direct
0.000 0.000 0.000
0.540 0.500 0.194
0.780 0.000 0.420
0.350 0.500 0.647
```

Properties
The calculation puts the polymorph energy (0 for the lowest one) at 157 meV per atom. The calculation puts the density of states at the Fermi level at 2.91 states/eV/cell. The mass density comes out at 9.8 g/cm³. The formation energy is 0.466 eV per atom. For the energy, the calculation gives -19.7 eV for the cell shown.